VASP calculation (PBE) on a relaxed SnTePI2 crystal.

Summary:
**Space group**: P4/mmm, No. 123

Structure (POSCAR):
```
SnTePI2
1.0
5.962 0.000 0.000
0.000 5.962 0.000
0.000 0.000 5.990
Sn Te P I
1 1 1 2
direct
0.000 0.000 0.000
0.000 0.000 0.500
0.500 0.500 0.500
0.000 0.500 0.000
0.500 0.000 0.000
```

VASP calculation (PBE) on a relaxed SnTePI2 crystal.

Summary:
**Space group**: P4/mmm, No. 123

Structure (POSCAR):
```
SnTePI2
1.0
5.363 0.000 0.000
0.000 5.363 0.000
0.000 0.000 5.615
Sn Te P I
1 1 1 2
direct
0.000 0.000 0.000
0.500 0.500 0.000
0.500 0.500 0.500
0.000 0.500 0.500
0.500 0.000 0.500
```

VASP calculation (PBE) on a relaxed VSnPI2 crystal.

Summary:
**Space group**: P4/mmm, No. 123

Structure (POSCAR):
```
VSnPI2
1.0
5.993 0.000 0.000
0.000 5.993 0.000
0.000 0.000 5.098
V Sn P I
1 1 1 2
direct
0.000 0.000 0.000
0.500 0.500 0.500
0.500 0.500 0.000
0.000 0.500 0.500
0.500 0.000 0.500
```

VASP calculation (PBE) on a relaxed Sr2PI crystal.

Summary:
**Space group**: I-42d, No. 122

Structure (POSCAR):
```
Sr2PI
1.0
-4.094 4.094 4.835
4.094 -4.094 4.835
4.094 4.094 -4.835
Sr P I
4 2 2
direct
0.072 0.625 0.947
0.375 0.322 0.447
0.678 0.125 0.053
0.875 0.928 0.553
0.000 0.000 0.000
0.750 0.250 0.500
0.250 0.750 0.500
0.500 0.500 0.000
```

| no. | formation energy (no corrections) (eV per atom) |
| --- | --- |
| 1 | 0.679 |
| 2 | 0.237 |
| 3 | 0.922 |
| 4 | -1.141 |